{
  "formula": "Ca4MoO6",
  "functional": "PBE with a Hubbard U",
  "state": "optimized geometry",
  "dos_at_fermi_per_ev_cell": 7.4,
  "sg": "R-3c",
  "e_tot_ev_per_atom": -6.6370,
  "lattice": [[4.772, 2.755, 3.785], [-4.772, 2.755, 3.785], [0.000, -5.511, 3.785]],
  "species": ["Ca", "Ca", "Ca", "Ca", "Ca", "Ca", "Ca", "Ca", "Mo", "Mo", "O", "O", "O", "O", "O", "O", "O", "O", "O", "O", "O", "O"],
  "fractional_positions": [[0.103, 0.750, 0.397], [0.250, 0.250, 0.250], [0.250, 0.603, 0.897], [0.397, 0.103, 0.750], [0.603, 0.897, 0.250], [0.750, 0.397, 0.103], [0.750, 0.750, 0.750], [0.897, 0.250, 0.603], [0.000, 0.000, 0.000], [0.500, 0.500, 0.500], [0.053, 0.927, 0.703], [0.073, 0.297, 0.947], [0.203, 0.427, 0.553], [0.297, 0.947, 0.073], [0.427, 0.553, 0.203], [0.447, 0.797, 0.573], [0.553, 0.203, 0.427], [0.573, 0.447, 0.797], [0.703, 0.053, 0.927], [0.797, 0.573, 0.447], [0.927, 0.703, 0.053], [0.947, 0.073, 0.297]]
}